[1]
The following is a DFT calculation (PBE) of a geometry-optimized Pm2Sn3Rh4 structure.

Properties
Calculated formation energy (eV per atom): -0.746
Final energy (eV/atom): -6.403

a = 8.7051 Å, b = 8.7051 Å, c = 7.4180 Å
α = 90.00°, β = 90.00°, γ = 139.27°
Last column: nearest neighbours and their distance in Å.
Fractional coordinates of all 18 atoms:
Pm (0.1037, 0.8963, 0.9207)  5 Rh 2.92-3.25
Pm (0.3963, 0.6037, 0.4207)  5 Rh 2.92-3.25
Pm (0.6037, 0.3963, 0.5793)  5 Rh 2.92-3.25
Pm (0.8963, 0.1037, 0.0793)  5 Rh 2.92-3.25
Sn (0.0000, 0.0000, 0.5000)  6 Rh 2.66-2.80
Sn (0.0148, 0.4852, 0.7500)  5 Rh 2.68-2.74
Sn (0.4852, 0.0148, 0.2500)  5 Rh 2.68-2.74
Sn (0.5000, 0.5000, 0.0000)  6 Rh 2.66-2.80
Sn (0.5148, 0.9852, 0.7500)  5 Rh 2.68-2.74
Sn (0.9852, 0.5148, 0.2500)  5 Rh 2.68-2.74
Rh (0.1711, 0.8289, 0.5233)  5 Sn 2.73-2.80, 2 Rh 3.01
Rh (0.1791, 0.3209, 0.7500)  3 Sn 2.66-2.68, 2 Pm 2.92
Rh (0.3209, 0.1791, 0.2500)  3 Sn 2.66-2.68, 2 Pm 2.92
Rh (0.3289, 0.6711, 0.0233)  5 Sn 2.73-2.80, 2 Rh 3.01
Rh (0.6711, 0.3289, 0.9767)  5 Sn 2.73-2.80, 2 Rh 3.01
Rh (0.6791, 0.8209, 0.7500)  3 Sn 2.66-2.68, 2 Pm 2.92
Rh (0.8209, 0.6791, 0.2500)  3 Sn 2.66-2.68, 2 Pm 2.92
Rh (0.8289, 0.1711, 0.4767)  5 Sn 2.73-2.80, 2 Rh 3.01

=====

[2]
The following is a DFT calculation (PBE) of a geometry-optimized TbPmSnRh structure.

Properties
Calculated formation energy (eV per atom): -0.608
Final energy (eV/atom): -5.792

a = 7.3267 Å, b = 7.3267 Å, c = 7.3267 Å
α = 90.00°, β = 90.00°, γ = 90.00°
Last column: nearest neighbours and their distance in Å.
Fractional coordinates of all 16 atoms:
Tb (0.0000, 0.0000, 0.0000)  4 Rh 3.17, 4 Sn 3.17
Tb (0.0000, 0.5000, 0.5000)  4 Rh 3.17, 4 Sn 3.17
Tb (0.5000, 0.0000, 0.5000)  4 Rh 3.17, 4 Sn 3.17
Tb (0.5000, 0.5000, 0.0000)  4 Rh 3.17, 4 Sn 3.17
Pm (0.0000, 0.0000, 0.5000)  4 Sn 3.17, 4 Rh 3.17
Pm (0.0000, 0.5000, 0.0000)  4 Sn 3.17, 4 Rh 3.17
Pm (0.5000, 0.0000, 0.0000)  4 Sn 3.17, 4 Rh 3.17
Pm (0.5000, 0.5000, 0.5000)  4 Sn 3.17, 4 Rh 3.17
Sn (0.2500, 0.2500, 0.2500)  4 Tb 3.17, 4 Pm 3.17
Sn (0.2500, 0.7500, 0.7500)  4 Tb 3.17, 4 Pm 3.17
Sn (0.7500, 0.2500, 0.7500)  4 Tb 3.17, 4 Pm 3.17
Sn (0.7500, 0.7500, 0.2500)  4 Tb 3.17, 4 Pm 3.17
Rh (0.2500, 0.2500, 0.7500)  4 Tb 3.17, 4 Pm 3.17
Rh (0.2500, 0.7500, 0.2500)  4 Tb 3.17, 4 Pm 3.17
Rh (0.7500, 0.2500, 0.2500)  4 Tb 3.17, 4 Pm 3.17
Rh (0.7500, 0.7500, 0.7500)  4 Tb 3.17, 4 Pm 3.17